The following is a DFT calculation (GGA-PBE) of crystalline MnTeS2 at its relaxed geometry.

Summary:
Its uncorrected formation energy is 242 meV per atom. The calculated total energy is -4.90 eV per atom.

Unit cell a=3.3638 b=23.4998 c=4.2383 alpha=90.00 beta=90.00 gamma=90.00
Space group Cmcm (No. 63)
Inequivalent atoms, fractional coordinates:
Mn  0.0000  0.0383  0.2500
Te  0.0000  0.3250  0.2500
S  0.0000  0.0524  0.7500
S  0.0000  0.1461  0.2500

The following is a DFT calculation (GGA-PBE) of crystalline Tb2Sm5Ga4 at its relaxed geometry.

Summary:
The energy of formation from the pure elements is 6.52 kcal/mol of atoms. The calculated total energy is -3.80 eV per atom.

Unit cell a=3.5261 b=7.5884 c=30.5143 alpha=90.00 beta=90.00 gamma=90.00
Space group Immm (No. 71)
Inequivalent atoms, fractional coordinates:
Tb  0.0000  0.0000  0.0885
Sm  0.0000  0.2330  0.1916
Sm  0.0000  0.5000  0.5000
Ga  0.0000  0.0000  0.2708
Ga  0.0000  0.3305  0.0000

The following is a DFT calculation (GGA-PBE) of crystalline AlFe2HIr at its relaxed geometry.

Summary:
The calculated total energy is -6.81 eV per atom. The value obtained for the energy relative to the lowest polymorph listed for this composition is 0 meV per atom.

Unit cell a=3.6876 b=3.6876 c=3.9892 alpha=90.00 beta=90.00 gamma=90.00
Space group P4/mmm (No. 123)
Inequivalent atoms, fractional coordinates:
Al  0.0000  0.0000  0.0000
Fe  0.0000  0.5000  0.5000
H  0.5000  0.5000  0.5000
Ir  0.5000  0.5000  0.0000

The following is a DFT calculation (GGA-PBE) of crystalline Li2Mg2F7 at its relaxed geometry.

Summary:
Its uncorrected formation energy is -2876 meV per atom. The calculated total energy is -4.70 eV per atom.

Unit cell a=7.4596 b=6.6141 c=5.2463 alpha=90.00 beta=99.82 gamma=90.00
Space group C2/m (No. 12)
Inequivalent atoms, fractional coordinates:
Li  0.0000  0.2052  0.0000
Mg  0.2325  0.0000  0.5051
F  0.0000  0.5000  0.5000
F  0.0333  0.0000  0.7428
F  0.2108  0.2524  0.2538

Q: Which formula does entry 2 have?
A: Tb2Sm5Ga4

Q: What is the formula in the fourth record?
A: Li2Mg2F7